# 1
Computed, not measured: a relaxed TaReP2O crystal at the PBE level of DFT.

* offset from the most stable computed form: 0.048 eV per atom
* symmetry: P4/mmm, No. 123
* density: 8.115 g cm⁻³
* crystal system: tetragonal
* formation energy without anion corrections: 6.71 kcal/mol of atoms

Unit cell a=4.911 b=4.911 c=3.777 alpha=90.00 beta=90.00 gamma=90.00
Element x y z (fractional)
Ta1 0.000 0.000 0.000
Re1 0.500 0.500 0.500
P1 0.000 0.500 0.000
P2 0.500 0.000 0.000
O1 0.000 0.000 0.500


# 2
Computed, not measured: a relaxed TaReP2O crystal at the PBE level of DFT.

* offset from the most stable computed form: 0.000 eV per atom
* symmetry: P4/mmm, No. 123
* density: 8.912 g cm⁻³
* crystal system: tetragonal
* formation energy without anion corrections: 5.61 kcal/mol of atoms

Unit cell a=4.783 b=4.783 c=3.625 alpha=90.00 beta=90.00 gamma=90.00
Element x y z (fractional)
Ta1 0.000 0.000 0.000
Re1 0.500 0.500 0.500
P1 0.000 0.500 0.500
P2 0.500 0.000 0.500
O1 0.500 0.500 0.000


# 3
Computed, not measured: a relaxed TaRePO2 crystal at the PBE level of DFT.

* offset from the most stable computed form: 0.315 eV per atom
* symmetry: P4/mmm, No. 123
* density: 9.209 g cm⁻³
* crystal system: tetragonal
* formation energy without anion corrections: -7.75 kcal/mol of atoms

Unit cell a=3.729 b=3.729 c=5.578 alpha=90.00 beta=90.00 gamma=90.00
Element x y z (fractional)
Ta1 0.000 0.000 0.000
Re1 0.500 0.500 0.500
P1 0.500 0.500 0.000
O1 0.000 0.500 0.500
O2 0.500 0.000 0.500


# 4
Computed, not measured: a relaxed ReTePO2 crystal at the PBE level of DFT.

* offset from the most stable computed form: 1.130 eV per atom
* symmetry: P4/mmm, No. 123
* density: 7.329 g cm⁻³
* crystal system: tetragonal
* formation energy without anion corrections: 12.53 kcal/mol of atoms

Unit cell a=3.923 b=3.923 c=5.546 alpha=90.00 beta=90.00 gamma=90.00
Element x y z (fractional)
Re1 0.000 0.000 0.000
Te1 0.500 0.500 0.500
P1 0.500 0.500 0.000
O1 0.000 0.500 0.500
O2 0.500 0.000 0.500


# 5
Computed, not measured: a relaxed ReTePO2 crystal at the PBE level of DFT.

* offset from the most stable computed form: 0.000 eV per atom
* symmetry: P4/mmm, No. 123
* density: 7.813 g cm⁻³
* crystal system: tetragonal
* formation energy without anion corrections: -13.53 kcal/mol of atoms

Unit cell a=3.810 b=3.810 c=5.517 alpha=90.00 beta=90.00 gamma=90.00
Element x y z (fractional)
Re1 0.000 0.000 0.000
Te1 0.500 0.500 0.500
P1 0.000 0.000 0.500
O1 0.000 0.500 0.000
O2 0.500 0.000 0.000


# 6
Computed, not measured: a relaxed TiReP2O crystal at the PBE level of DFT.

* offset from the most stable computed form: 0.000 eV per atom
* symmetry: P4/mmm, No. 123
* density: 6.171 g cm⁻³
* crystal system: tetragonal
* formation energy without anion corrections: -2.61 kcal/mol of atoms

Unit cell a=4.774 b=4.774 c=3.684 alpha=90.00 beta=90.00 gamma=90.00
Element x y z (fractional)
Ti1 0.000 0.000 0.000
Re1 0.500 0.500 0.500
P1 0.000 0.500 0.500
P2 0.500 0.000 0.500
O1 0.500 0.500 0.000


# 7
Computed, not measured: a relaxed TiReP2O crystal at the PBE level of DFT.

* offset from the most stable computed form: 0.254 eV per atom
* symmetry: P4/mmm, No. 123
* density: 6.263 g cm⁻³
* crystal system: tetragonal
* formation energy without anion corrections: 3.24 kcal/mol of atoms

Unit cell a=4.817 b=4.817 c=3.565 alpha=90.00 beta=90.00 gamma=90.00
Element x y z (fractional)
Ti1 0.000 0.000 0.000
Re1 0.500 0.500 0.500
P1 0.000 0.500 0.000
P2 0.500 0.000 0.000
O1 0.000 0.000 0.500